Li4V2SiP2O12 | PBE with a Hubbard U | relaxed

Its crystal system is monoclinic. As for the excess energy over the best structure of this formula in the dataset: 0.016 eV/atom.

Geometry as POSCAR:
```
Li4V2SiP2O12
1.0
-3.243 -5.822 5.282
-3.032 -7.053 -3.658
4.590 -7.091 1.085
Li V Si P O
8 4 2 4 24
direct
0.256 0.164 0.098 Li
0.170 0.260 0.603 Li
0.000 0.496 0.242 Li
0.657 0.343 0.500 Li
0.341 0.659 0.000 Li
0.836 0.744 0.902 Li
0.504 0.000 0.758 Li
0.740 0.830 0.397 Li
0.642 0.140 0.892 V
0.146 0.643 0.390 V
0.860 0.358 0.108 V
0.357 0.854 0.610 V
0.252 0.452 0.796 Si
0.548 0.748 0.204 Si
0.954 0.046 0.500 P
0.447 0.249 0.296 P
0.044 0.956 0.000 P
0.751 0.553 0.704 P
0.113 0.016 0.560 O
0.010 0.112 0.066 O
0.094 0.421 0.001 O
0.417 0.254 0.814 O
0.306 0.625 0.773 O
0.198 0.480 0.622 O
0.762 0.068 0.652 O
0.426 0.100 0.491 O
0.258 0.404 0.311 O
0.611 0.309 0.257 O
0.475 0.180 0.144 O
0.932 0.238 0.348 O
0.059 0.764 0.154 O
0.520 0.802 0.378 O
0.375 0.694 0.227 O
0.746 0.583 0.186 O
0.579 0.906 0.999 O
0.236 0.941 0.846 O
0.820 0.525 0.856 O
0.691 0.389 0.743 O
0.596 0.742 0.689 O
0.900 0.574 0.509 O
0.984 0.887 0.440 O
0.888 0.990 0.934 O
```